Computed, not measured: LiTbHg2 after structural relaxation at the PBE level of DFT.

Cell lengths 3.485, 3.485, 7.315 Å; angles 90.00, 90.00, 90.00 degrees
Sites, in units of the cell vectors:
Li 0.000 0.000 0.000
Tb 0.000 0.000 0.500
Hg 0.500 0.500 0.218
Hg 0.500 0.500 0.782

Summary:
Total DFT energy (no corrections): -2.18 eV per atom
Energy relative to the elements: -0.39 eV per atom
Density of states at the Fermi level: 3.4 states/eV/cell
M_tot: 0.29 μB per formula unit